VASP calculation (PBE+U) on crystalline VCu3Br2F6 at its relaxed geometry.

Calculated values
crystal system = monoclinic
density = 4.03 g/cm3
E = -4.428 eV per atom
D(E_F) = 6.4 states/eV/f.u.

Cell and atoms, written as CIF:
```
data_VCu3Br2F6
_cell_length_a 15.4010
_cell_length_b 5.5688
_cell_length_c 4.9715
_cell_angle_alpha 90.00
_cell_angle_beta 95.03
_cell_angle_gamma 90.00
_symmetry_space_group_name_H-M 'C 1 2/m 1'
_symmetry_Int_Tables_number 12
loop_
_symmetry_equiv_pos_as_xyz
'x,y,z'
'-x,-y,-z'
'-x,y,-z'
'x,-y,z'
'x+1/2,y+1/2,z'
'-x+1/2,-y+1/2,-z'
'-x+1/2,y+1/2,-z'
'x+1/2,-y+1/2,z'
loop_
_atom_site_label
_atom_site_fract_x
_atom_site_fract_y
_atom_site_fract_z
V1 0.0000 0.0000 0.0000
Cu1 0.0000 0.5000 0.5000
Cu2 0.2500 0.2500 0.0000
Br1 0.1942 0.5000 0.6647
F1 0.0371 0.2476 0.2563
F2 0.1085 0.0000 0.8806
```